PBE RbSnAuSe3, relaxed; raw formation energy = -0.58 eV per atom; total magnetic moment = 0.0 Bohr magnetons per cell
1.0
-6.588 3.287 -3.727
-2.415 -2.221 -7.572
-5.985 -5.057 0.749
Se Au Rb Sn
6 2 2 2
direct
0.885 0.885 0.223
0.416 0.863 0.213
0.137 0.584 0.787
0.584 0.137 0.787
0.115 0.115 0.777
0.863 0.416 0.213
0.290 0.710 0.500
0.710 0.290 0.500
0.340 0.340 0.250
0.660 0.660 0.750
0.076 0.076 0.128
0.924 0.924 0.872


PBE Rb2SnAu2Se6, relaxed; DOS(E_F) = 0.240 states/eV per atom; raw formation energy = -0.36 eV per atom; total magnetic moment = 0.0 Bohr magnetons per cell
1.0
7.502 0.000 0.000
-3.751 6.490 -0.251
0.000 -4.039 7.553
Se Rb Au Sn
6 2 2 1
direct
0.266 0.968 0.235
0.298 0.032 0.765
0.266 0.533 0.235
0.734 0.467 0.765
0.702 0.968 0.235
0.734 0.032 0.765
0.268 0.535 0.803
0.732 0.465 0.197
0.090 0.181 0.271
0.910 0.819 0.729
0.500 0.000 0.500


PBE Rb2SnAuSe4, relaxed; DOS(E_F) = 0.627 states/eV per atom; raw formation energy = -0.59 eV per atom; total magnetic moment = 0.0 Bohr magnetons per cell
1.0
6.965 0.000 0.000
3.482 6.478 0.000
3.482 0.000 12.255
Au Se Sn Rb
2 8 2 4
direct
0.250 0.500 0.500
0.500 0.000 0.000
0.146 0.313 0.376
0.915 0.813 0.876
0.541 0.313 0.624
0.272 0.813 0.124
0.478 0.687 0.376
0.604 0.187 0.124
0.209 0.187 0.876
0.835 0.687 0.624
0.750 0.500 0.500
0.000 0.000 0.000
0.816 0.000 0.369
0.566 0.500 0.869
0.184 0.000 0.631
0.934 0.500 0.131


PBE RbTe2AuSe4, relaxed; DOS(E_F) = 0.424 states/eV per atom; raw formation energy = -0.20 eV per atom; total magnetic moment = 0.0 Bohr magnetons per cell
1.0
-6.513 1.047 -3.178
-0.967 -1.346 -6.898
-5.398 -4.454 1.160
Se Au Rb Te
4 1 1 2
direct
0.413 0.141 0.445
0.000 0.445 0.141
0.000 0.859 0.555
0.587 0.555 0.859
0.000 0.500 0.500
0.000 0.000 0.000
0.500 0.750 0.250
0.500 0.250 0.750


Question: total magnetic moment of number 2 (Rb2SnAu2Se6)?
Answer: 0.0 Bohr magnetons per cell


Question: What is the total magnetic moment in the first record?
Answer: 0.0 Bohr magnetons per cell


Question: What is the formula in the fourth record?
Answer: RbTe2AuSe4


What did the second record say?
PBE Rb2SnAu2Se6, relaxed; DOS(E_F) = 0.240 states/eV per atom; raw formation energy = -0.36 eV per atom; total magnetic moment = 0.0 Bohr magnetons per cell
1.0
7.502 0.000 0.000
-3.751 6.490 -0.251
0.000 -4.039 7.553
Se Rb Au Sn
6 2 2 1
direct
0.266 0.968 0.235
0.298 0.032 0.765
0.266 0.533 0.235
0.734 0.467 0.765
0.702 0.968 0.235
0.734 0.032 0.765
0.268 0.535 0.803
0.732 0.465 0.197
0.090 0.181 0.271
0.910 0.819 0.729
0.500 0.000 0.500